(1)
Here is a geometry-optimized ScCuSn structure from the Alexandria database. Energies are from PBE.

Cell: 4.4711 4.4712 7.2697 Å, 107.93 72.07 120.00°
Last column: nearest neighbours and their distance in Å.
Element x y z (fractional)
Sc 0.5977 0.8756 0.0866  3 Cu 2.69
Sc 0.7659 0.7071 0.5826  1 Cu 2.61
Sn 0.1774 0.2958 0.3469  4 Cu 2.77-3.08, 3 Sc 3.03-3.04
Sn 0.3496 0.1236 0.8318  3 Cu 2.59
Cu 0.0266 0.4469 0.8008  3 Sn 2.59, 1 Cu 2.70
Cu 0.8939 0.5800 0.1984  4 Sc 2.61-2.69, 1 Cu 2.70, 3 Sn 2.77

## Properties
Space-group type   No. 160
Crystal system   trigonal
ΔE_f   -433.0 meV per atom
E_tot   -31.5 eV for the cell shown



(2)
Here is a geometry-optimized ScCuSn structure from the Alexandria database. Energies are from PBE.

Cell: 4.1747 5.6996 5.7953 Å, 92.60 111.09 111.40°
Last column: nearest neighbours and their distance in Å.
Element x y z (fractional)
Sc 0.5374 0.0463 0.2897  5 Cu 2.93-3.25, 5 Sn 3.03-3.17
Sc 0.0154 0.6300 0.6592  5 Cu 2.92-3.25, 5 Sn 3.03-3.17
Sn 0.7210 0.6084 0.0942  3 Cu 2.59-2.73
Sn 0.8316 0.0678 0.8547  3 Cu 2.59-2.73
Cu 0.3209 0.2419 0.6592  1 Cu 2.42, 2 Sn 2.59
Cu 0.2318 0.4345 0.2900  1 Cu 2.42, 2 Sn 2.59-2.60

## Properties
Space-group type   No. 2
Crystal system   triclinic
ΔE_f   -411.2 meV per atom
E_tot   -31.3 eV for the cell shown



(3)
Here is a geometry-optimized ScCuSn structure from the Alexandria database. Energies are from PBE.

Cell: 4.1828 4.1828 6.8849 Å, 90.00 90.00 90.00°
Last column: nearest neighbours and their distance in Å.
Element x y z (fractional)
Sc 0.0000 0.0000 0.5000  4 Cu 2.81, 4 Sc 2.96
Sc 0.5000 0.5000 0.5000  4 Cu 2.81, 4 Sc 2.96
Sn 0.0000 0.5000 0.1577  1 Cu 2.65
Sn 0.5000 0.0000 0.8423  1 Cu 2.65
Cu 0.0000 0.5000 0.7726  1 Sn 2.65, 4 Sc 2.81
Cu 0.5000 0.0000 0.2274  1 Sn 2.65, 4 Sc 2.81

## Properties
Space-group type   No. 129
Crystal system   tetragonal
ΔE_f   -181.3 meV per atom
E_tot   -29.9 eV for the cell shown



> Look up the ΔE_f of the third one.

-181.3 meV per atom



> The lowest E_tot belongs to which entry?

number 1



> What is the ΔE_f in the third record?

-181.3 meV per atom



> Number 3 is which compound?

ScCuSn